The following is a DFT calculation (PBE) of a relaxed K2CdTe2 crystal.

- crystal system = tetragonal
- formation energy from raw total energies (eV/atom) = -0.649
- V (Å³/f.u.) = 182.15

abc: 8.401 8.401 5.162
angles: 90.00 90.00 90.00
Space group P4/mbm (No. 127)
Symmetry-distinct sites (fractional):
1 K 0.138 0.362 0.000 x4
2 Cd 0.000 0.000 0.500 x2
3 Te 0.177 0.677 0.500 x4


The following is a DFT calculation (PBE) of a relaxed KCdTe2 crystal.

- crystal system = tetragonal
- formation energy from raw total energies (eV/atom) = -0.218
- V (Å³/f.u.) = 129.45

abc: 3.277 3.277 12.055
angles: 90.00 90.00 90.00
Space group P4/mmm (No. 123)
Symmetry-distinct sites (fractional):
1 K 0.000 0.000 0.000 x1
2 Cd 0.000 0.000 0.500 x1
3 Te 0.500 0.500 0.225 x2


The following is a DFT calculation (PBE) of a relaxed KCd3Te3 crystal.

- crystal system = trigonal
- formation energy from raw total energies (eV/atom) = -0.458
- V (Å³/f.u.) = 264.82

abc: 8.6185 8.6185 24.7005
angles: 90.00 90.00 120.00
Space group R-3 (No. 148, hexagonal axes)
Symmetry-distinct sites (fractional):
1 K 0.0000 0.0000 0.1663 x6
2 Cd 0.0027 0.6633 0.2860 x18
3 Te 0.0024 0.6718 0.7419 x18


Please write out number 2 again, unchanged.
The following is a DFT calculation (PBE) of a relaxed KCdTe2 crystal.

- crystal system = tetragonal
- formation energy from raw total energies (eV/atom) = -0.218
- V (Å³/f.u.) = 129.45

abc: 3.277 3.277 12.055
angles: 90.00 90.00 90.00
Space group P4/mmm (No. 123)
Symmetry-distinct sites (fractional):
1 K 0.000 0.000 0.000 x1
2 Cd 0.000 0.000 0.500 x1
3 Te 0.500 0.500 0.225 x2


Which of these has the lowest formation energy from raw total energies?
K2CdTe2


What did the first record say?
The following is a DFT calculation (PBE) of a relaxed K2CdTe2 crystal.

- crystal system = tetragonal
- formation energy from raw total energies (eV/atom) = -0.649
- V (Å³/f.u.) = 182.15

abc: 8.401 8.401 5.162
angles: 90.00 90.00 90.00
Space group P4/mbm (No. 127)
Symmetry-distinct sites (fractional):
1 K 0.138 0.362 0.000 x4
2 Cd 0.000 0.000 0.500 x2
3 Te 0.177 0.677 0.500 x4